SCAN TiMoS3, PBEsol geometry; theoretical density = 4952 kg/m³; space group = P2_1/m, No. 11; crystal system = monoclinic; formation energy (no corrections) = -1194 meV per atom
1.0
-2.828 -1.300 -0.801
1.544 0.217 -5.804
2.745 -7.697 2.800
Ti S Mo
2 6 2
Cartesian
3.168 -7.822 -1.715 Ti
-1.707 -0.958 -2.090 Ti
0.913 -7.188 -1.231 S
-0.122 -2.106 -5.826 S
0.390 -4.750 -3.341 S
1.583 -6.674 2.021 S
1.071 -4.029 -0.464 S
0.547 -1.592 -2.574 S
1.682 -3.012 -4.274 Mo
-0.221 -5.768 0.469 Mo